a) Compound: HfZrAsSe2
Source: Alexandria
Functional: PBE
Structure: relaxed

Summary:
- symmetry = P4/mmm
- volume (Å³/cell) = 131
- DOS(E_F) (states/eV/cell) = 4.67

```
HfZrAsSe2
1.0
5.043 0.000 0.000
0.000 5.043 0.000
0.000 0.000 5.164
Hf Zr As Se
1 1 1 2
Direct
0.000 0.000 0.000
0.500 0.500 0.500
0.000 0.000 0.500
0.000 0.500 0.000
0.500 0.000 0.000
```


b) Compound: HfZrAsSe2
Source: Alexandria
Functional: PBE
Structure: relaxed

Summary:
- symmetry = P4/mmm
- volume (Å³/cell) = 133
- DOS(E_F) (states/eV/cell) = 4.14

```
HfZrAsSe2
1.0
5.054 0.000 0.000
0.000 5.054 0.000
0.000 0.000 5.220
Hf Zr As Se
1 1 1 2
Direct
0.000 0.000 0.000
0.500 0.500 0.500
0.500 0.500 0.000
0.000 0.500 0.500
0.500 0.000 0.500
```


It comes down to a), which is 0.217 eV/atom more stable than the next structure.


a) Compound: Hf2SiAs
Source: Alexandria
Functional: PBE
Structure: relaxed

Summary:
- symmetry = Fm-3m
- volume (Å³/cell) = 73
- DOS(E_F) (states/eV/cell) = 3.01

```
Hf2SiAs
1.0
0.000 3.319 3.319
3.319 0.000 3.319
3.319 3.319 0.000
Hf Si As
2 1 1
Direct
0.250 0.250 0.250
0.750 0.750 0.750
0.000 0.000 0.000
0.500 0.500 0.500
```


b) Compound: Hf2SiAs
Source: Alexandria
Functional: PBE
Structure: relaxed

Summary:
- symmetry = I-42d
- volume (Å³/cell) = 218
- DOS(E_F) (states/eV/cell) = 4.81

```
Hf2SiAs
1.0
-3.001 3.001 6.056
3.001 -3.001 6.056
3.001 3.001 -6.056
Hf Si As
4 2 2
Direct
0.119 0.625 0.994
0.375 0.369 0.494
0.631 0.125 0.006
0.875 0.881 0.506
0.000 0.000 0.000
0.750 0.250 0.500
0.250 0.750 0.500
0.500 0.500 0.000
```


It comes down to a), which is 0.444 eV/atom more stable than the next structure.


a) Compound: Hf2SiAs
Source: Alexandria
Functional: PBE
Structure: relaxed

Summary:
- symmetry = R3m
- volume (Å³/cell) = 79
- DOS(E_F) (states/eV/cell) = 2.62

```
Hf2SiAs
1.0
1.879 1.085 6.482
-1.879 1.085 6.482
0.000 -2.169 6.482
Hf Si As
2 1 1
Direct
0.000 0.000 0.000
0.178 0.178 0.178
0.591 0.591 0.591
0.422 0.422 0.422
```


b) Compound: Hf2SiAs
Source: Alexandria
Functional: PBE
Structure: relaxed

Summary:
- symmetry = R-3m
- volume (Å³/cell) = 78
- DOS(E_F) (states/eV/cell) = 1.19

```
Hf2SiAs
1.0
1.897 1.095 6.286
-1.897 1.095 6.286
0.000 -2.190 6.286
Hf Si As
2 1 1
Direct
0.246 0.246 0.246
0.754 0.754 0.754
0.500 0.500 0.500
0.000 0.000 0.000
```


It comes down to b), which is 0.044 eV/atom more stable than the next structure.


a) Compound: HfSiAs3
Source: Alexandria
Functional: PBE
Structure: relaxed

Summary:
- symmetry = Pm-3m
- volume (Å³/cell) = 105
- DOS(E_F) (states/eV/cell) = 4.03

```
HfSiAs3
1.0
4.712 0.000 0.000
0.000 4.712 0.000
0.000 0.000 4.712
Hf Si As
1 1 3
Direct
0.000 0.000 0.000
0.500 0.500 0.500
0.000 0.500 0.500
0.500 0.000 0.500
0.500 0.500 0.000
```


b) Compound: HfSiAs3
Source: Alexandria
Functional: PBE
Structure: relaxed

Summary:
- symmetry = Pm-3m
- volume (Å³/cell) = 134
- DOS(E_F) (states/eV/cell) = 3.27

```
HfSiAs3
1.0
5.120 0.000 0.000
0.000 5.120 0.000
0.000 0.000 5.120
Hf Si As
1 1 3
Direct
0.000 0.000 0.000
0.500 0.500 0.500
0.000 0.000 0.500
0.000 0.500 0.000
0.500 0.000 0.000
```


It comes down to a), which is 0.061 eV/atom more stable than the next structure.


a) Compound: SmHfAs2
Source: Alexandria
Functional: PBE
Structure: relaxed

Summary:
- symmetry = R3m
- volume (Å³/cell) = 92
- DOS(E_F) (states/eV/cell) = 2.76

```
SmHfAs2
1.0
1.965 1.135 6.908
-1.965 1.135 6.908
0.000 -2.269 6.908
Sm Hf As
1 1 2
Direct
0.000 0.000 0.000
0.174 0.174 0.174
0.578 0.578 0.578
0.763 0.763 0.763
```


b) Compound: SmHfAs2
Source: Alexandria
Functional: PBE
Structure: relaxed

Summary:
- symmetry = R-3m
- volume (Å³/cell) = 91
- DOS(E_F) (states/eV/cell) = 1.73

```
SmHfAs2
1.0
1.995 1.152 6.611
-1.995 1.152 6.611
0.000 -2.304 6.611
Sm Hf As
1 1 2
Direct
0.000 0.000 0.000
0.500 0.500 0.500
0.242 0.242 0.242
0.758 0.758 0.758
```


It comes down to b), which is 0.079 eV/atom more stable than the next structure.


a) Compound: Hf2SnAs
Source: Alexandria
Functional: PBE
Structure: relaxed

Summary:
- symmetry = I-42d
- volume (Å³/cell) = 246
- DOS(E_F) (states/eV/cell) = 4.82

```
Hf2SnAs
1.0
-3.110 3.110 6.353
3.110 -3.110 6.353
3.110 3.110 -6.353
Hf Sn As
4 2 2
Direct
0.096 0.625 0.971
0.375 0.346 0.471
0.654 0.125 0.029
0.875 0.904 0.529
0.250 0.750 0.500
0.500 0.500 0.000
0.000 0.000 0.000
0.750 0.250 0.500
```


b) Compound: Hf2SnAs
Source: Alexandria
Functional: PBE
Structure: relaxed

Summary:
- symmetry = R3m
- volume (Å³/cell) = 87
- DOS(E_F) (states/eV/cell) = 1.32

```
Hf2SnAs
1.0
1.815 1.048 7.607
-1.815 1.048 7.607
0.000 -2.096 7.607
Hf Sn As
2 1 1
Direct
0.000 0.000 0.000
0.193 0.193 0.193
0.429 0.429 0.429
0.597 0.597 0.597
```


It comes down to b), which is 0.792 eV/atom more stable than the next structure.